Tl2SbTeO PBE optimized geometry; raw formation energy = -0.27 eV per atom; density = 8.2 g/cm3; SG = No. 123
1.0
5.545 0.000 0.000
0.000 4.453 0.000
0.000 0.000 5.545
O Tl Sb Te
1 2 1 1
Cartesian
0.000 0.000 0.000 O
0.000 0.000 2.772 Tl
2.772 0.000 0.000 Tl
0.000 2.226 0.000 Sb
2.772 2.226 2.772 Te